Compound: Y3TmS
Source: OQMD
Functional: GGA-PBE
Structure: optimized geometry

Magnetic moment ... 0.360 μB/cell
Calculated density ... 5.231 g/cm3
E ... -6.2545 eV per atom

Geometry as POSCAR:
```
Y3TmS
1.0
5.2951 0.0000 0.0000
0.0000 5.2951 0.0000
0.0000 0.0000 5.2951
S Tm Y
1 1 3
direct
0.5000 0.5000 0.5000 S
0.0000 0.0000 0.0000 Tm
0.5000 0.5000 0.0000 Y
0.5000 0.0000 0.5000 Y
0.0000 0.5000 0.5000 Y
```

***

Compound: PrTaPd
Source: OQMD
Functional: GGA-PBE
Structure: optimized geometry

Magnetic moment ... 1.228 μB/cell
Calculated density ... 9.490 g/cm3
E_form ... 10.23 kcal/mol of atoms
E ... -6.8240 eV per atom

Geometry as POSCAR:
```
PrTaPd
1.0
0.0000 3.3463 3.3463
3.3463 0.0000 3.3463
3.3463 3.3463 0.0000
Pd Pr Ta
1 1 1
direct
0.0000 0.0000 0.0000 Pd
0.2500 0.2500 0.2500 Pr
0.7500 0.7500 0.7500 Ta
```

***

Compound: LuNb2CuSi2
Source: OQMD
Functional: GGA-PBE
Structure: optimized geometry

Magnetic moment ... 0.002 μB/cell
Calculated density ... 7.318 g/cm3
E ... -6.8433 eV per atom

Geometry as POSCAR:
```
LuNb2CuSi2
1.0
3.9326 0.0000 0.0000
0.0000 3.9326 0.0000
0.0000 0.0000 7.0496
Cu Lu Nb Si
1 1 2 2
direct
0.0000 0.0000 0.3483 Cu
0.5000 0.5000 0.6399 Lu
0.5000 0.0000 0.0076 Nb
0.0000 0.5000 0.0076 Nb
0.5000 0.5000 0.2602 Si
0.0000 0.0000 0.7364 Si
```

***

Compound: Na4P2PdPt
Source: OQMD
Functional: GGA-PBE
Structure: optimized geometry

Magnetic moment ... 0.206 μB/cell
Calculated density ... 4.629 g/cm3
E ... -3.8840 eV per atom

Geometry as POSCAR:
```
Na4P2PdPt
1.0
-2.5660 2.4286 4.2249
1.7459 -4.7994 2.0614
4.7786 2.3997 1.5068
Na P Pd Pt
4 2 1 1
direct
0.8278 0.4705 0.2484 Na
0.4705 0.8278 0.2484 Na
0.5295 0.1722 0.7516 Na
0.1722 0.5295 0.7516 Na
0.2761 0.2761 0.2437 P
0.7239 0.7239 0.7563 P
0.0000 0.0000 0.5000 Pd
0.0000 0.0000 0.0000 Pt
```

***

Compound: YHoIr2C2N2
Source: OQMD
Functional: GGA-PBE
Structure: optimized geometry

Magnetic moment ... 0.003 μB/cell
Calculated density ... 11.318 g/cm3
E ... -8.4831 eV per atom

Geometry as POSCAR:
```
YHoIr2C2N2
1.0
3.7266 0.0000 0.0000
0.0000 3.7266 0.0000
0.0000 0.0000 7.2928
C Ho Ir N Y
2 1 2 2 1
direct
0.5000 0.5000 0.3401 C
0.0000 0.0000 0.6608 C
0.0000 0.0000 0.1665 Ho
0.5000 0.0000 0.4991 Ir
0.0000 0.5000 0.4991 Ir
0.5000 0.5000 0.1491 N
0.0000 0.0000 0.8517 N
0.5000 0.5000 0.8334 Y
```

***

Compound: RbDyB4
Source: OQMD
Functional: GGA-PBE
Structure: optimized geometry

Magnetic moment ... 0.010 μB/cell
Calculated density ... 5.869 g/cm3
E ... -5.3008 eV per atom

Geometry as POSCAR:
```
RbDyB4
1.0
3.2371 0.0000 0.0000
-1.6185 2.8034 0.0000
0.0000 0.0000 9.0790
B Dy Rb
4 1 1
direct
0.6667 0.3333 0.2088 B
0.3333 0.6667 0.2088 B
0.6667 0.3333 0.7912 B
0.3333 0.6667 0.7912 B
0.0000 0.0000 0.0000 Dy
0.0000 0.0000 0.5000 Rb
```

***

What is the formula in the fifth record? YHoIr2C2N2